A plane-wave DFT calculation with PBE was carried out for a relaxed structure of CsGaTe.

Lattice parameters (Å, degrees): 7.4357 7.4357 8.0048 108.02 108.02 37.79
Fractional coordinates of all 6 atoms:
1 Cs 0.0000 0.0000 0.0000
2 Cs 0.6589 0.6589 0.5788
3 Ga 0.3600 0.3600 0.2235
4 Ga 0.9262 0.9262 0.4320
5 Te 0.3762 0.3762 0.6098
6 Te 0.7310 0.7310 0.1342

Summary:
ρ, g/cm³: 4.3
Uncorrected formation energy, eV per atom: -0.6148
Excess energy over the best structure of this formula in the dataset, eV/atom: 0.006